Entry 1:
An optimized crystal structure of La4DyHo8, computed with PBE-GGA.

* DOS(E_F): 24.18 states/eV/f.u.
* energy relative to the elements: 544 meV/atom
* total DFT energy (no corrections): -53.86 eV/f.u.

abc: 11.0532 11.0532 13.4785
angles: 90.00 90.00 120.00
Space group R-3m (No. 166, hexagonal axes)
Asymmetric unit:
La 0.0000 0.0000 0.0000 x3
La 0.0000 0.5000 0.0000 x9
Dy 0.0000 0.0000 0.5000 x3
Ho 0.0000 0.0000 0.2395 x6
Ho 0.0135 0.5067 0.7457 x18

---

Entry 2:
An optimized crystal structure of La2DyHo, computed with PBE-GGA.

* DOS(E_F): 6.82 states/eV/f.u.
* energy relative to the elements: 25 meV/atom
* total DFT energy (no corrections): -18.93 eV/f.u.
* energy above the lowest structure with this stoichiometry: 3 meV/atom

abc: 3.707 3.707 9.935
angles: 90.00 90.00 90.00
Space group P4/mmm (No. 123)
Asymmetric unit:
La 0.000 0.000 0.249 x2
Dy 0.500 0.500 0.500 x1
Ho 0.500 0.500 0.000 x1

---

Entry 3:
An optimized crystal structure of La2DyHo4, computed with PBE-GGA.

* DOS(E_F): 10.37 states/eV/f.u.
* energy relative to the elements: 41 meV/atom
* total DFT energy (no corrections): -32.48 eV/f.u.
* energy above the lowest structure with this stoichiometry: 0 meV/atom

abc: 7.104 8.622 8.888
angles: 114.17 101.61 101.76
Space group P1 (No. 1)
Asymmetric unit:
La 0.000 0.000 0.000 x1
La 0.089 0.535 0.842 x1
La 0.318 0.697 0.567 x1
La 0.496 0.985 0.003 x1
Dy 0.671 0.275 0.426 x1
Dy 0.792 0.871 0.297 x1
Ho 0.175 0.275 0.430 x1
Ho 0.203 0.105 0.704 x1
Ho 0.289 0.872 0.293 x1
Ho 0.402 0.435 0.162 x1
Ho 0.592 0.531 0.836 x1
Ho 0.701 0.108 0.703 x1
Ho 0.816 0.698 0.569 x1
Ho 0.896 0.434 0.165 x1

---

Entry 4:
An optimized crystal structure of La6Dy8Ho, computed with PBE-GGA.

* DOS(E_F): 23.26 states/eV/f.u.
* energy relative to the elements: 113 meV/atom
* total DFT energy (no corrections): -69.27 eV/f.u.

abc: 9.1428 9.1428 21.2124
angles: 90.00 90.00 120.00
Space group R-3 (No. 148, hexagonal axes)
Asymmetric unit:
La 0.0543 0.2480 0.2128 x18
Dy 0.0000 0.0000 0.0770 x6
Dy 0.0806 0.5671 0.3056 x18
Ho 0.0000 0.0000 0.5000 x3

---

Entry 5:
An optimized crystal structure of La2Dy5Ho4, computed with PBE-GGA.

* DOS(E_F): 16.47 states/eV/f.u.
* energy relative to the elements: 155 meV/atom
* total DFT energy (no corrections): -49.47 eV/f.u.
* energy above the lowest structure with this stoichiometry: 4 meV/atom

abc: 16.541 6.676 6.727
angles: 90.00 100.59 90.00
Space group C2/m (No. 12)
Asymmetric unit:
La 0.200 0.000 0.297 x4
Dy 0.000 0.000 0.500 x2
Dy 0.088 0.263 0.906 x8
Ho 0.086 0.500 0.405 x4
Ho 0.244 0.000 0.806 x4

---

Entry 6:
An optimized crystal structure of La2Dy2Ho7, computed with PBE-GGA.

* DOS(E_F): 18.76 states/eV/f.u.
* energy relative to the elements: 152 meV/atom
* total DFT energy (no corrections): -49.43 eV/f.u.
* energy above the lowest structure with this stoichiometry: 0 meV/atom

abc: 11.258 11.573 6.113
angles: 90.00 113.98 90.00
Space group C2/m (No. 12)
Asymmetric unit:
La 0.096 0.000 0.310 x4
Dy 0.000 0.289 0.000 x4
Ho 0.000 0.500 0.500 x2
Ho 0.174 0.261 0.680 x8
Ho 0.228 0.500 0.074 x4

---

- The lowest DOS(E_F) belongs to which entry?
  La2DyHo

---

- The lowest total DFT energy (no corrections) belongs to which entry?
  La6Dy8Ho

---

- Which of these has the highest DOS(E_F)?
  La4DyHo8